Record 1
Material: NdTlCd3
Method: DFT, PBE
State: optimized geometry

```
NdTlCd3
1.0
2.871 -10.115 0.000
2.871 10.115 0.000
0.000 0.000 5.365
Nd Tl Cd
2 2 6
Direct
0.147 0.853 0.750
0.853 0.147 0.250
0.439 0.561 0.750
0.561 0.439 0.250
0.000 0.000 0.000
0.000 0.000 0.500
0.041 0.458 0.750
0.458 0.041 0.250
0.542 0.959 0.750
0.959 0.542 0.250
```

Computed properties:
Crystal system ... orthorhombic
Size of the total moment ... 0.00 μB/atom
Energy relative to the elements ... 0.075 eV per atom
E ... -0.140 Ry per atom

Record 2
Material: TbGdBeHg
Method: DFT, PBE
State: optimized geometry

```
TbGdBeHg
1.0
0.000 3.627 3.627
3.627 0.000 3.627
3.627 3.627 0.000
Tb Gd Be Hg
1 1 1 1
Direct
0.000 0.000 0.000
0.500 0.500 0.500
0.750 0.750 0.750
0.250 0.250 0.250
```

Computed properties:
Crystal system ... cubic
Size of the total moment ... 1.94 μB/atom
Energy relative to the elements ... -0.117 eV per atom
E ... -0.426 Ry per atom

Record 3
Material: TmV2Fe
Method: DFT, PBE
State: optimized geometry

```
TmV2Fe
1.0
1.990 1.149 5.163
-1.990 1.149 5.163
0.000 -2.298 5.163
Tm V Fe
1 2 1
Direct
0.000 0.000 0.000
0.203 0.203 0.203
0.797 0.797 0.797
0.500 0.500 0.500
```

Computed properties:
Crystal system ... trigonal
Size of the total moment ... 0.08 μB/atom
Energy relative to the elements ... 0.309 eV per atom
E ... -0.550 Ry per atom

Record 4
Material: NaIn12Ga7
Method: DFT, PBE
State: optimized geometry

```
NaIn12Ga7
1.0
6.575 3.796 3.445
-6.575 3.796 3.445
0.000 -7.592 3.445
Na In Ga
1 12 7
Direct
0.000 0.000 0.000
0.125 0.283 0.802
0.158 0.437 0.509
0.198 0.875 0.717
0.283 0.802 0.125
0.437 0.509 0.158
0.491 0.842 0.563
0.509 0.158 0.437
0.563 0.491 0.842
0.717 0.198 0.875
0.802 0.125 0.283
0.842 0.563 0.491
0.875 0.717 0.198
0.050 0.436 0.147
0.147 0.050 0.436
0.436 0.147 0.050
0.500 0.500 0.500
0.564 0.853 0.950
0.853 0.950 0.564
0.950 0.564 0.853
```

Computed properties:
Crystal system ... trigonal
Size of the total moment ... 0.00 μB/atom
Energy relative to the elements ... 0.073 eV per atom
E ... -0.198 Ry per atom

Record 5
Material: Ac5GeSe4
Method: DFT, PBE
State: optimized geometry

```
Ac5GeSe4
1.0
-2.249 2.249 15.950
2.249 -2.249 15.950
2.249 2.249 -15.950
Ac Ge Se
5 1 4
Direct
0.000 0.000 0.000
0.202 0.202 0.000
0.402 0.402 0.000
0.598 0.598 0.000
0.798 0.798 0.000
0.500 0.500 0.000
0.102 0.102 0.000
0.301 0.301 0.000
0.699 0.699 0.000
0.898 0.898 0.000
```

Computed properties:
Crystal system ... tetragonal
ΔE to the lowest computed polymorph ... 2.8 kJ per mole of atoms
Uncorrected formation energy ... -1676 meV/atom
Size of the total moment ... 0.00 μB/atom
E ... -0.411 Ry per atom

Record 6
Material: BaAcZnIn
Method: DFT, PBE
State: optimized geometry

```
BaAcZnIn
1.0
4.069 0.000 0.000
0.000 4.069 0.000
0.000 0.000 8.349
Ba Ac Zn In
1 1 1 1
Direct
0.000 0.000 0.000
0.000 0.000 0.525
0.500 0.500 0.731
0.500 0.500 0.281
```

Computed properties:
Crystal system ... tetragonal
ΔE to the lowest computed polymorph ... 0.0 kJ per mole of atoms
Size of the total moment ... 0.00 μB/atom
Energy relative to the elements ... -0.307 eV per atom
E ... -0.207 Ry per atom

Record 7
Material: ErAlCo
Method: DFT, PBE
State: optimized geometry

```
ErAlCo
1.0
4.233 0.000 0.000
-2.117 3.666 0.000
0.000 0.000 3.592
Er Al Co
1 1 1
Direct
0.000 0.000 0.000
0.667 0.333 0.500
0.333 0.667 0.500
```

Computed properties:
Crystal system ... hexagonal
Size of the total moment ... 0.20 μB/atom
Energy relative to the elements ... -0.317 eV per atom
E ... -0.401 Ry per atom

Record 8
Material: MgZn2CuSe4
Method: DFT, PBE
State: optimized geometry

```
MgZn2CuSe4
1.0
-2.858 2.858 5.827
2.858 -2.858 5.827
2.858 2.858 -5.827
Mg Zn Cu Se
1 2 1 4
Direct
0.000 0.000 0.000
0.250 0.750 0.500
0.750 0.250 0.500
0.500 0.500 0.000
0.136 0.136 0.526
0.390 0.864 0.000
0.610 0.610 0.474
0.864 0.390 0.000
```

Computed properties:
Crystal system ... tetragonal
Uncorrected formation energy ... -644 meV/atom
Size of the total moment ... 0.00 μB/atom
E ... -0.251 Ry per atom

Record 9
Material: SmHoTmSn
Method: DFT, PBE
State: optimized geometry

```
SmHoTmSn
1.0
0.000 3.825 3.825
3.825 0.000 3.825
3.825 3.825 0.000
Sm Ho Tm Sn
1 1 1 1
Direct
0.000 0.000 0.000
0.500 0.500 0.500
0.750 0.750 0.750
0.250 0.250 0.250
```

Computed properties:
Crystal system ... cubic
Size of the total moment ... 0.00 μB/atom
Energy relative to the elements ... -0.239 eV per atom
E ... -0.344 Ry per atom

Record 10
Material: Nb2SbW
Method: DFT, PBE
State: optimized geometry

```
Nb2SbW
1.0
-3.075 3.075 5.999
3.075 -3.075 5.999
3.075 3.075 -5.999
Nb Sb W
4 2 2
Direct
0.086 0.625 0.961
0.375 0.336 0.461
0.664 0.125 0.039
0.875 0.914 0.539
0.250 0.750 0.500
0.500 0.500 0.000
0.000 0.000 0.000
0.750 0.250 0.500
```

Computed properties:
Crystal system ... tetragonal
Uncorrected formation energy ... 1555 meV/atom
Size of the total moment ... 0.00 μB/atom
E ... -0.570 Ry per atom

Record 11
Material: HgTe2
Method: DFT, PBE
State: optimized geometry

```
HgTe2
1.0
-2.037 2.037 7.325
2.037 -2.037 7.325
2.037 2.037 -7.325
Hg Te
1 2
Direct
0.000 0.000 0.000
0.281 0.281 0.000
0.719 0.719 0.000
```

Computed properties:
Crystal system ... tetragonal
ΔE to the lowest computed polymorph ... 6.6 kJ per mole of atoms
Uncorrected formation energy ... 92 meV/atom
Size of the total moment ... 0.00 μB/atom
E ... -0.155 Ry per atom

Record 12
Material: Mg2BeAs
Method: DFT, PBE
State: optimized geometry

```
Mg2BeAs
1.0
-1.946 1.946 4.575
1.946 -1.946 4.575
1.946 1.946 -4.575
Mg Be As
2 1 1
Direct
0.000 0.000 0.000
0.750 0.250 0.500
0.500 0.500 0.000
0.250 0.750 0.500
```

Computed properties:
Crystal system ... tetragonal
ΔE to the lowest computed polymorph ... 27.9 kJ per mole of atoms
Size of the total moment ... 0.00 μB/atom
Energy relative to the elements ... 0.113 eV per atom
E ... -0.204 Ry per atom